# AlRe2Ag (GGA-PBEsol, relaxed)
# DFT formation energy ... 0.28 eV/atom
# N(E_F) ... 2.77 states/eV/f.u.
# Total energy ... -65.90 eV/cell
data_AlRe2Ag
_cell_length_a 9.6697
_cell_length_b 2.8474
_cell_length_c 4.5442
_cell_angle_alpha 90.00
_cell_angle_beta 106.98
_cell_angle_gamma 90.00
_symmetry_space_group_name_H-M 'C 1 2/m 1'
_symmetry_Int_Tables_number 12
loop_
_symmetry_equiv_pos_as_xyz
'x,y,z'
'-x,-y,-z'
'-x,y,-z'
'x,-y,z'
'x+1/2,y+1/2,z'
'-x+1/2,-y+1/2,-z'
'-x+1/2,y+1/2,-z'
'x+1/2,-y+1/2,z'
loop_
_atom_site_label
_atom_site_type_symbol
_atom_site_fract_x
_atom_site_fract_y
_atom_site_fract_z
_atom_site_occupancy
Al1 Al 0.0000 0.0000 0.0000 1
Re1 Re 0.2367 0.5000 0.2387 1
Ag1 Ag 0.0000 0.5000 0.5000 1